[1]
A plane-wave DFT calculation with GGA-PBE was carried out for an optimized crystal structure of LaErHg6.

a b c (Å): 5.050 6.818 11.705
angles (deg): 90.00 90.00 90.00
Space group Amm2 (No. 38)
Unique sites:
La 0.000 0.000 0.000 (multiplicity 2)
Er 0.500 0.000 0.678 (multiplicity 2)
Hg 0.000 0.000 0.512 (multiplicity 2)
Hg 0.000 0.248 0.252 (multiplicity 4)
Hg 0.500 0.000 0.174 (multiplicity 2)
Hg 0.500 0.235 0.419 (multiplicity 4)

Its uncorrected energy is -28.4 eV/cell.



[2]
A plane-wave DFT calculation with GGA-PBE was carried out for an optimized crystal structure of La2ErHg.

a b c (Å): 7.927 7.927 7.927
angles (deg): 90.00 90.00 90.00
Space group Fm-3m (No. 225)
Unique sites:
La 0.250 0.250 0.250 (multiplicity 8)
Er 0.000 0.000 0.000 (multiplicity 4)
Hg 0.000 0.000 0.500 (multiplicity 4)

Its uncorrected energy is -60.5 eV/cell.



[3]
A plane-wave DFT calculation with GGA-PBE was carried out for an optimized crystal structure of La3Er3Hg2.

a b c (Å): 5.216 11.927 16.194
angles (deg): 90.00 90.00 90.00
Space group Cmcm (No. 63)
Unique sites:
La 0.000 0.040 0.108 (multiplicity 8)
La 0.000 0.292 0.250 (multiplicity 4)
Er 0.000 0.359 0.036 (multiplicity 8)
Er 0.000 0.423 0.750 (multiplicity 4)
Hg 0.000 0.235 0.621 (multiplicity 8)

Its uncorrected energy is -122.3 eV/cell.



[4]
A plane-wave DFT calculation with GGA-PBE was carried out for an optimized crystal structure of LaErHg2.

a b c (Å): 3.8666 3.8666 27.6545
angles (deg): 90.00 90.00 120.00
Space group R3m (No. 160, hexagonal axes)
Unique sites:
La 0.0000 0.0000 0.0000 (multiplicity 3)
Er 0.0000 0.0000 0.8331 (multiplicity 3)
Hg 0.0000 0.0000 0.4219 (multiplicity 3)
Hg 0.0000 0.0000 0.5778 (multiplicity 3)

Its uncorrected energy is -34.1 eV/cell.



[5]
A plane-wave DFT calculation with GGA-PBE was carried out for an optimized crystal structure of LaErHg2.

a b c (Å): 3.733 3.733 7.854
angles (deg): 90.00 90.00 90.00
Space group P4/mmm (No. 123)
Unique sites:
La 0.000 0.000 0.000 (multiplicity 1)
Er 0.000 0.000 0.500 (multiplicity 1)
Hg 0.500 0.500 0.278 (multiplicity 2)

Its uncorrected energy is -12.1 eV/cell.



[6]
A plane-wave DFT calculation with GGA-PBE was carried out for an optimized crystal structure of La2ErHg4.

a b c (Å): 5.604 5.604 15.933
angles (deg): 90.00 90.00 90.00
Space group I4/mmm (No. 139)
Unique sites:
La 0.000 0.000 0.112 (multiplicity 4)
Er 0.000 0.000 0.500 (multiplicity 2)
Hg 0.000 0.000 0.313 (multiplicity 4)
Hg 0.000 0.500 0.000 (multiplicity 4)

Its uncorrected energy is -32.7 eV/cell.



[7]
A plane-wave DFT calculation with GGA-PBE was carried out for an optimized crystal structure of La2Er2Hg3.

a b c (Å): 5.206 5.212 9.263
angles (deg): 90.02 106.23 119.95
Space group P-1 (No. 2)
Unique sites:
La 0.242 0.371 0.112 (multiplicity 2)
Er 0.252 0.876 0.629 (multiplicity 2)
Hg 0.013 0.756 0.268 (multiplicity 2)
Hg 0.500 0.500 0.500 (multiplicity 1)

Its uncorrected energy is -22.2 eV/cell.



[8]
A plane-wave DFT calculation with GGA-PBE was carried out for an optimized crystal structure of La6Er2Hg.

a b c (Å): 9.8087 9.8087 3.6932
angles (deg): 90.00 90.00 120.00
Space group P-62m (No. 189)
Unique sites:
La 0.0000 0.3742 0.0000 (multiplicity 3)
La 0.0000 0.7204 0.5000 (multiplicity 3)
Er 0.3333 0.6667 0.5000 (multiplicity 2)
Hg 0.0000 0.0000 0.0000 (multiplicity 1)

Its uncorrected energy is -39.8 eV/cell.



[9]
A plane-wave DFT calculation with GGA-PBE was carried out for an optimized crystal structure of LaErHg3.

a b c (Å): 3.620 29.369 4.993
angles (deg): 90.00 90.00 90.00
Space group Cmcm (No. 63)
Unique sites:
La 0.000 0.077 0.250 (multiplicity 4)
Er 0.000 0.211 0.750 (multiplicity 4)
Hg 0.000 0.315 0.750 (multiplicity 4)
Hg 0.000 0.375 0.250 (multiplicity 4)
Hg 0.000 0.475 0.250 (multiplicity 4)

Its uncorrected energy is -50.8 eV/cell.



[10]
A plane-wave DFT calculation with GGA-PBE was carried out for an optimized crystal structure of La3ErHg12.

a b c (Å): 4.755 4.755 18.758
angles (deg): 90.00 90.00 90.00
Space group P4/mmm (No. 123)
Unique sites:
La 0.000 0.000 0.000 (multiplicity 1)
La 0.000 0.000 0.258 (multiplicity 2)
Er 0.000 0.000 0.500 (multiplicity 1)
Hg 0.000 0.500 0.129 (multiplicity 4)
Hg 0.000 0.500 0.384 (multiplicity 4)
Hg 0.500 0.500 0.000 (multiplicity 1)
Hg 0.500 0.500 0.260 (multiplicity 2)
Hg 0.500 0.500 0.500 (multiplicity 1)

Its uncorrected energy is -28.5 eV/cell.



[11]
A plane-wave DFT calculation with GGA-PBE was carried out for an optimized crystal structure of La2ErHg.

a b c (Å): 3.5702 3.5702 37.4432
angles (deg): 90.00 90.00 120.00
Space group R-3m (No. 166, hexagonal axes)
Unique sites:
La 0.0000 0.0000 0.0894 (multiplicity 6)
Er 0.0000 0.0000 0.5000 (multiplicity 3)
Hg 0.0000 0.0000 0.0000 (multiplicity 3)

Its uncorrected energy is -43.2 eV/cell.



[12]
A plane-wave DFT calculation with GGA-PBE was carried out for an optimized crystal structure of La2ErHg.

a b c (Å): 3.7261 3.7261 32.7372
angles (deg): 90.00 90.00 120.00
Space group R3m (No. 160, hexagonal axes)
Unique sites:
La 0.0000 0.0000 0.0000 (multiplicity 3)
La 0.0000 0.0000 0.1755 (multiplicity 3)
Er 0.0000 0.0000 0.4205 (multiplicity 3)
Hg 0.0000 0.0000 0.5882 (multiplicity 3)

Its uncorrected energy is -45.7 eV/cell.



Values of energy of formation, in order: -0.364 -0.102 -0.189 -0.315 -0.491 -0.105 -0.335 -0.095 -0.459 -0.347 0.079 -0.130, all in eV per atom.